Record 1
Material: Pm6GeS12
Method: DFT, PBE-GGA
State: optimized geometry

Results
**Final energy**: -5.90 eV per atom
**Formation energy from raw total energies**: -29.476 eV/f.u.
**Space-group type**: R-3 (148)

Cell lengths 7.908, 7.908, 7.908 Å; angles 98.84, 98.84, 98.84 degrees
Sites, in units of the cell vectors:
Pm 0.134 0.296 0.630
Pm 0.296 0.630 0.134
Pm 0.370 0.866 0.704
Pm 0.630 0.134 0.296
Pm 0.704 0.370 0.866
Pm 0.866 0.704 0.370
Ge 0.000 0.000 0.000
S 0.027 0.946 0.691
S 0.054 0.309 0.973
S 0.180 0.580 0.441
S 0.309 0.973 0.054
S 0.420 0.559 0.820
S 0.441 0.180 0.580
S 0.559 0.820 0.420
S 0.580 0.441 0.180
S 0.691 0.027 0.946
S 0.820 0.420 0.559
S 0.946 0.691 0.027
S 0.973 0.054 0.309

Record 2
Material: Pm4GeS2
Method: DFT, PBE-GGA
State: optimized geometry

Results
**Energy relative to the lowest polymorph listed for this composition**: 0 meV per atom
**Final energy**: -5.99 eV per atom
**Formation energy from raw total energies**: -10.040 eV/f.u.
**Space-group type**: Cmcm (63)

Cell lengths 6.882, 6.882, 13.594 Å; angles 90.00, 90.00, 145.36 degrees
Sites, in units of the cell vectors:
Pm 0.000 0.000 0.000
Pm 0.000 0.000 0.500
Pm 0.274 0.726 0.622
Pm 0.274 0.726 0.878
Pm 0.446 0.554 0.250
Pm 0.554 0.446 0.750
Pm 0.726 0.274 0.122
Pm 0.726 0.274 0.378
Ge 0.108 0.892 0.250
Ge 0.892 0.108 0.750
S 0.364 0.636 0.062
S 0.364 0.636 0.438
S 0.636 0.364 0.562
S 0.636 0.364 0.938

Record 3
Material: Pm2Ge2S7
Method: DFT, PBE-GGA
State: optimized geometry

Results
**Final energy**: -5.29 eV per atom
**Formation energy from raw total energies**: -10.590 eV/f.u.
**Space-group type**: C2/m (12)

Cell lengths 7.135, 7.135, 5.991 Å; angles 97.20, 97.20, 100.30 degrees
Sites, in units of the cell vectors:
Pm 0.207 0.793 0.000
Pm 0.793 0.207 0.000
Ge 0.268 0.268 0.582
Ge 0.732 0.732 0.418
S 0.074 0.417 0.773
S 0.097 0.097 0.263
S 0.417 0.074 0.773
S 0.500 0.500 0.500
S 0.583 0.926 0.227
S 0.903 0.903 0.737
S 0.926 0.583 0.227

Record 4
Material: Pm3GeS2
Method: DFT, PBE-GGA
State: optimized geometry

Results
**Energy relative to the lowest polymorph listed for this composition**: 0 meV per atom
**Final energy**: -6.22 eV per atom
**Formation energy from raw total energies**: -10.183 eV/f.u.
**Space-group type**: Immm (71)

Cell lengths 7.126, 7.126, 7.126 Å; angles 146.18, 131.76, 60.22 degrees
Sites, in units of the cell vectors:
Pm 0.000 0.000 0.000
Pm 0.332 0.332 0.000
Pm 0.668 0.668 0.000
Ge 0.500 0.000 0.500
S 0.166 0.666 0.500
S 0.834 0.334 0.500

Record 5
Material: PmGeS2
Method: DFT, PBE-GGA
State: optimized geometry

Results
**Energy relative to the lowest polymorph listed for this composition**: 0 meV per atom
**Final energy**: -5.43 eV per atom
**Formation energy from raw total energies**: -4.082 eV/f.u.
**Space-group type**: P3_221 (154)

Cell lengths 4.147, 4.147, 20.804 Å; angles 90.00, 90.00, 120.00 degrees
Sites, in units of the cell vectors:
Pm 0.000 0.315 0.333
Pm 0.315 0.000 0.667
Pm 0.685 0.685 0.000
Ge 0.000 0.984 0.833
Ge 0.016 0.016 0.500
Ge 0.984 0.000 0.167
S 0.024 0.362 0.927
S 0.338 0.976 0.261
S 0.362 0.024 0.073
S 0.638 0.662 0.594
S 0.662 0.638 0.406
S 0.976 0.338 0.739

Record 6
Material: Pm4Ge2S
Method: DFT, PBE-GGA
State: optimized geometry

Results
**Energy relative to the lowest polymorph listed for this composition**: 217 meV per atom
**Final energy**: -5.49 eV per atom
**Formation energy from raw total energies**: -6.046 eV/f.u.
**Space-group type**: P2_1/m (11)

Cell lengths 6.694, 6.591, 9.188 Å; angles 90.00, 109.22, 90.00 degrees
Sites, in units of the cell vectors:
Pm 0.002 0.001 0.257
Pm 0.002 0.499 0.257
Pm 0.432 0.250 0.070
Pm 0.451 0.250 0.644
Pm 0.549 0.750 0.356
Pm 0.568 0.750 0.930
Pm 0.998 0.501 0.743
Pm 0.998 0.999 0.743
Ge 0.191 0.750 0.046
Ge 0.207 0.750 0.552
Ge 0.793 0.250 0.448
Ge 0.809 0.250 0.954
S 0.355 0.250 0.338
S 0.645 0.750 0.662

Record 7
Material: Pm6GeS4
Method: DFT, PBE-GGA
State: optimized geometry

Results
**Final energy**: -6.17 eV per atom
**Formation energy from raw total energies**: -18.205 eV/f.u.
**Space-group type**: Cmcm (63)

Cell lengths 6.923, 6.923, 20.456 Å; angles 90.00, 90.00, 145.74 degrees
Sites, in units of the cell vectors:
Pm 0.000 0.000 0.000
Pm 0.000 0.000 0.500
Pm 0.174 0.826 0.750
Pm 0.273 0.727 0.084
Pm 0.273 0.727 0.416
Pm 0.452 0.548 0.664
Pm 0.452 0.548 0.836
Pm 0.548 0.452 0.164
Pm 0.548 0.452 0.336
Pm 0.727 0.273 0.584
Pm 0.727 0.273 0.916
Pm 0.826 0.174 0.250
Ge 0.163 0.837 0.250
Ge 0.837 0.163 0.750
S 0.091 0.909 0.625
S 0.091 0.909 0.875
S 0.363 0.637 0.541
S 0.363 0.637 0.959
S 0.637 0.363 0.041
S 0.637 0.363 0.459
S 0.909 0.091 0.125
S 0.909 0.091 0.375

Record 8
Material: Pm4GeS3
Method: DFT, PBE-GGA
State: optimized geometry

Results
**Final energy**: -6.30 eV per atom
**Formation energy from raw total energies**: -14.361 eV/f.u.
**Space-group type**: Pm-3m (221)

Cell lengths 5.792, 5.792, 5.792 Å; angles 90.00, 90.00, 90.00 degrees
Sites, in units of the cell vectors:
Pm 0.000 0.000 0.000
Pm 0.000 0.500 0.500
Pm 0.500 0.000 0.500
Pm 0.500 0.500 0.000
Ge 0.500 0.500 0.500
S 0.000 0.000 0.500
S 0.000 0.500 0.000
S 0.500 0.000 0.000

Record 9
Material: Pm3GeS
Method: DFT, PBE-GGA
State: optimized geometry

Results
**Final energy**: -5.79 eV per atom
**Formation energy from raw total energies**: -5.958 eV/f.u.
**Space-group type**: Cmcm (63)

Cell lengths 6.682, 6.682, 10.234 Å; angles 90.00, 90.00, 143.93 degrees
Sites, in units of the cell vectors:
Pm 0.075 0.925 0.750
Pm 0.356 0.644 0.568
Pm 0.356 0.644 0.932
Pm 0.644 0.356 0.068
Pm 0.644 0.356 0.432
Pm 0.925 0.075 0.250
Ge 0.255 0.745 0.250
Ge 0.745 0.255 0.750
S 0.000 0.000 0.000
S 0.000 0.000 0.500

Record 10
Material: Pm8GeS5
Method: DFT, PBE-GGA
State: optimized geometry

Results
**Final energy**: -5.96 eV per atom
**Formation energy from raw total energies**: -20.204 eV/f.u.
**Space-group type**: I-4 (82)

Cell lengths 7.510, 7.510, 7.510 Å; angles 109.32, 109.32, 109.78 degrees
Sites, in units of the cell vectors:
Pm 0.118 0.376 0.619
Pm 0.126 0.376 0.121
Pm 0.255 0.005 0.879
Pm 0.500 0.882 0.258
Pm 0.624 0.242 0.742
Pm 0.624 0.745 0.751
Pm 0.758 0.500 0.381
Pm 0.995 0.874 0.249
Ge 0.500 0.500 0.000
S 0.003 0.627 0.881
S 0.250 0.750 0.500
S 0.373 0.255 0.377
S 0.745 0.122 0.119
S 0.878 0.997 0.623

Record 11
Material: Pm4GeSbS2
Method: DFT, PBE-GGA
State: optimized geometry

Results
**Final energy**: -6.02 eV per atom
**Formation energy from raw total energies**: -12.153 eV/f.u.
**Space-group type**: P2/m (10)

Cell lengths 7.269, 4.231, 7.362 Å; angles 90.00, 109.55, 90.00 degrees
Sites, in units of the cell vectors:
Pm 0.238 0.000 0.235
Pm 0.245 0.500 0.757
Pm 0.755 0.500 0.243
Pm 0.762 0.000 0.765
Ge 0.500 0.000 0.000
Sb 0.500 0.500 0.500
S 0.000 0.000 0.500
S 0.000 0.500 0.000

Record 12
Material: Pm8GeSe4S3
Method: DFT, PBE-GGA
State: optimized geometry

Results
**Final energy**: -6.14 eV per atom
**Formation energy from raw total energies**: -29.233 eV/f.u.
**Space-group type**: R-3m (166)

Cell lengths 8.366, 8.366, 8.366 Å; angles 59.06, 59.06, 59.06 degrees
Sites, in units of the cell vectors:
Pm 0.242 0.242 0.242
Pm 0.242 0.745 0.745
Pm 0.255 0.255 0.758
Pm 0.255 0.758 0.255
Pm 0.745 0.242 0.745
Pm 0.745 0.745 0.242
Pm 0.758 0.255 0.255
Pm 0.758 0.758 0.758
Ge 0.500 0.500 0.500
Se 0.000 0.000 0.000
Se 0.000 0.500 0.500
Se 0.500 0.000 0.500
Se 0.500 0.500 0.000
S 0.000 0.000 0.500
S 0.000 0.500 0.000
S 0.500 0.000 0.000